Entry 1:
GGA-PBE BaTaBe2O6, optimized geometry; density of states at the Fermi level = 6.023 states/eV/f.u.; total moment = 1.05 μB per formula unit; VASP energy = -76.657 eV per formula unit
1.0
2.671 1.542 5.488
-2.671 1.542 5.488
0.000 -3.084 5.488
Ba Ta Be O
1 1 2 6
Cartesian
0.000 0.000 0.000 Ba
0.000 0.000 8.232 Ta
0.000 0.000 3.919 Be
0.000 0.000 12.544 Be
-1.228 -1.039 7.055 O
-1.514 0.544 9.408 O
0.285 -1.583 9.408 O
-0.285 1.583 7.055 O
1.514 -0.544 7.055 O
1.228 1.039 9.408 O


Entry 2:
GGA-PBE Ba3TbBe2O6, optimized geometry; density of states at the Fermi level = 1.778 states/eV/f.u.; total moment = 0.00 μB per formula unit; VASP energy = -79.696 eV per formula unit
1.0
5.797 0.000 0.000
-2.899 5.021 0.000
0.000 0.000 7.314
Ba Tb Be O
3 1 2 6
Cartesian
0.000 0.000 0.000 Ba
0.000 3.347 4.999 Ba
2.899 1.674 2.315 Ba
0.000 0.000 3.657 Tb
0.000 3.347 2.029 Be
2.899 1.674 5.286 Be
0.000 1.797 2.246 O
-1.342 4.122 2.246 O
1.556 0.898 5.068 O
1.343 4.122 2.246 O
4.241 0.898 5.068 O
2.899 3.224 5.068 O